The following is a PBE calculation of an optimized crystal structure of Dy3CdC, from the Open Quantum Materials Database.

The structure in extended XYZ format:
```
5
Lattice="4.923 0.000 0.000 0.000 4.923 0.000 0.000 0.000 4.923" Properties=species:S:1:pos:R:3 pbc="T T T"
Dy 2.461 0.000 0.000
Dy 0.000 0.000 2.461
Dy 0.000 2.461 0.000
C 0.000 0.000 0.000
Cd 2.461 2.461 2.461
```

Summary:
**Magnetization**: 0.191 μB per atom
**Mass density**: 8.52 Mg/m³
**Total DFT energy (no corrections)**: -25.455 eV for the cell shown